DFT (PBE+U) results for an optimized crystal structure of Mn2PtWF.

a = 4.3605 Å, b = 4.3605 Å, c = 4.4658 Å
α = 90.00°, β = 90.00°, γ = 90.00°
Last column: nearest neighbours and their distance in Å.
Fractional positions:
Mn 0.0000 0.5000 0.0000  2 F 2.18
Mn 0.5000 0.0000 0.0000  2 F 2.18
Pt 0.0000 0.0000 0.5000  4 W 3.08, 8 Mn 3.12
W 0.5000 0.5000 0.5000  2 F 2.23
F 0.5000 0.5000 0.0000  4 Mn 2.18, 2 W 2.23

Summary:
**Density of states at the Fermi level**: 2.79 states/eV/cell
**SG**: P4/mmm (123)
**Electronic total energy**: -5.915 eV per atom